Al2NiSn: optimized geometry, PBE-GGA.

Calculated values
raw total energy	-4.133	eV per atom
crystal system	cubic
total magnetization	0.007	Bohr magnetons per cell

a = 6.490 Å, b = 6.490 Å, c = 6.490 Å
α = 90.00°, β = 90.00°, γ = 90.00°
Space group F-43m (No. 216)
Symmetry-distinct sites (fractional):
Al: 0.000 0.000 0.000 [4 per cell]
Al: 0.250 0.250 0.250 [4 per cell]
Ni: 0.250 0.250 0.750 [4 per cell]
Sn: 0.000 0.000 0.500 [4 per cell]